Entry w
A plane-wave DFT calculation with GGA-PBE was carried out for a geometry-optimized Li2SeF structure.

Unit cell a=5.7227 b=5.7227 c=7.6432 alpha=90.00 beta=90.00 gamma=90.00
With the nearest neighbours (Å) after each atom.
Space group I-42d (No. 122)
Asymmetric unit:
Li 0.1365 0.7500 0.1250 [8 per cell]  2 F 1.89
Se 0.0000 0.0000 0.5000 [4 per cell]  4 Li 2.70
F 0.0000 0.0000 0.0000 [4 per cell]  4 Li 1.89

As for the density: 2.97 Mg/m³.

=====

Entry x
A plane-wave DFT calculation with GGA-PBE was carried out for a geometry-optimized Li2SeF structure.

Unit cell a=3.3704 b=3.3704 c=21.2778 alpha=90.00 beta=90.00 gamma=120.00
With the nearest neighbours (Å) after each atom.
Space group R-3m (No. 166, hexagonal axes)
Asymmetric unit:
Li 0.0000 0.0000 0.0798 [6 per cell]  1 F 1.70
Se 0.0000 0.0000 0.5000 [3 per cell]  6 Li 2.68
F 0.0000 0.0000 0.0000 [3 per cell]  2 Li 1.70

As for the density: 2.66 Mg/m³.

=====

Entry y
A plane-wave DFT calculation with GGA-PBE was carried out for a geometry-optimized Li2SeF structure.

Unit cell a=6.1806 b=6.1806 c=6.1806 alpha=90.00 beta=90.00 gamma=90.00
With the nearest neighbours (Å) after each atom.
Space group Fm-3m (No. 225)
Asymmetric unit:
Li 0.2500 0.2500 0.2500 [8 per cell]  4 F 2.68, 4 Se 2.68
Se 0.0000 0.0000 0.0000 [4 per cell]  8 Li 2.68
F 0.0000 0.0000 0.5000 [4 per cell]  8 Li 2.68

As for the density: 3.15 Mg/m³.

=====

Which one is most stable, and which one is least stable? entry w is the most stable of them, while entry y is the least stable.

=====

Entry w
A plane-wave DFT calculation with GGA-PBE was carried out for a geometry-optimized LiSeF2 structure.

Unit cell a=5.2071 b=5.2071 c=8.0776 alpha=90.00 beta=90.00 gamma=90.00
With the nearest neighbours (Å) after each atom.
Space group I-42d (No. 122)
Asymmetric unit:
Li 0.0000 0.0000 0.0000 [4 per cell]  4 F 1.82
Se 0.0000 0.0000 0.5000 [4 per cell]  4 F 2.47
F 0.1467 0.2500 0.1250 [8 per cell]  2 Li 1.82

As for the density: 3.76 Mg/m³.

=====

Entry x
A plane-wave DFT calculation with GGA-PBE was carried out for a geometry-optimized LiSeF2 structure.

Unit cell a=2.9861 b=2.9861 c=22.1988 alpha=90.00 beta=90.00 gamma=120.00
With the nearest neighbours (Å) after each atom.
Space group R-3m (No. 166, hexagonal axes)
Asymmetric unit:
Li 0.0000 0.0000 0.0000 [3 per cell]  2 F 1.70
Se 0.0000 0.0000 0.5000 [3 per cell]  6 F 2.64
F 0.0000 0.0000 0.0766 [6 per cell]  1 Li 1.70

As for the density: 3.60 Mg/m³.

=====

Entry y
A plane-wave DFT calculation with GGA-PBE was carried out for a geometry-optimized LiSeF2 structure.

Unit cell a=6.1347 b=6.1347 c=6.1347 alpha=90.00 beta=90.00 gamma=90.00
With the nearest neighbours (Å) after each atom.
Space group Fm-3m (No. 225)
Asymmetric unit:
Li 0.0000 0.0000 0.0000 [4 per cell]  8 F 2.66
Se 0.0000 0.0000 0.5000 [4 per cell]  8 F 2.66
F 0.2500 0.2500 0.2500 [8 per cell]  4 Se 2.66, 4 Li 2.66

As for the density: 3.56 Mg/m³.

=====

Which one is most stable, and which one is least stable? entry w is the most stable of them, while entry y is the least stable.

=====

Entry w
A plane-wave DFT calculation with GGA-PBE was carried out for a geometry-optimized LiSi2F structure.

Unit cell a=6.0541 b=6.0541 c=6.0541 alpha=90.00 beta=90.00 gamma=90.00
With the nearest neighbours (Å) after each atom.
Space group Fm-3m (No. 225)
Asymmetric unit:
Li 0.0000 0.0000 0.0000 [4 per cell]  8 Si 2.62
Si 0.2500 0.2500 0.2500 [8 per cell]  4 F 2.62, 4 Li 2.62
F 0.0000 0.0000 0.5000 [4 per cell]  8 Si 2.62

As for the density: 2.46 Mg/m³.

=====

Entry x
A plane-wave DFT calculation with GGA-PBE was carried out for a geometry-optimized LiSi2F structure.

Unit cell a=3.3077 b=3.3077 c=25.6284 alpha=90.00 beta=90.00 gamma=90.00
With the nearest neighbours (Å) after each atom.
Space group I-42d (No. 122)
Asymmetric unit:
Li 0.0000 0.0000 0.0000 [4 per cell]  4 F 2.34
Si 0.2473 0.2500 0.1250 [8 per cell]  4 Si 2.33-2.35
F 0.0000 0.0000 0.5000 [4 per cell]  4 Li 2.34

As for the density: 1.95 Mg/m³.

=====

Which one is most stable, and which one is least stable? entry x is the most stable of them, while entry w is the least stable.

=====

Entry w
A plane-wave DFT calculation with GGA-PBE was carried out for a geometry-optimized LiSi3F structure.

Unit cell a=4.4072 b=4.4072 c=4.4072 alpha=90.00 beta=90.00 gamma=90.00
With the nearest neighbours (Å) after each atom.
Space group Pm-3m (No. 221)
Asymmetric unit:
Li 0.0000 0.0000 0.0000 [1 per cell]  12 Si 3.12
Si 0.0000 0.5000 0.5000 [3 per cell]  2 F 2.20
F 0.5000 0.5000 0.5000 [1 per cell]  6 Si 2.20

As for the density: 2.14 Mg/m³.

=====

Entry x
A plane-wave DFT calculation with GGA-PBE was carried out for a geometry-optimized LiSi3F structure.

Unit cell a=4.3555 b=4.3555 c=4.3555 alpha=90.00 beta=90.00 gamma=90.00
With the nearest neighbours (Å) after each atom.
Space group Pm-3m (No. 221)
Asymmetric unit:
Li 0.0000 0.0000 0.0000 [1 per cell]  6 Si 2.18
Si 0.0000 0.0000 0.5000 [3 per cell]  2 Li 2.18
F 0.5000 0.5000 0.5000 [1 per cell]  12 Si 3.08

As for the density: 2.21 Mg/m³.

=====

Which one is most stable, and which one is least stable? entry w is the most stable of them, while entry x is the least stable.